No. 1
Compound: VSi2RuO
Source: the Alexandria database
Functional: PBE with a Hubbard U
Structure: relaxed

Lattice parameters (Å, degrees): 4.5933 4.5933 4.4065 90.00 90.00 90.00
Atoms (fractional coordinates):
V  0.0000  0.0000  0.0000
Si  0.0000  0.5000  0.0000
Si  0.5000  0.0000  0.0000
Ru  0.0000  0.0000  0.5000
O  0.5000  0.5000  0.5000

Computed properties:
calculated total energy: -24.75 eV for the cell shown
Fermi-level density of states: 3.5 states/eV/f.u.

---

No. 2
Compound: V2SiRuO
Source: the Alexandria database
Functional: PBE with a Hubbard U
Structure: relaxed

Lattice parameters (Å, degrees): 3.9951 3.9951 4.1405 90.00 90.00 90.00
Atoms (fractional coordinates):
V  0.0000  0.5000  0.0000
V  0.5000  0.0000  0.0000
Si  0.0000  0.0000  0.5000
Ru  0.5000  0.5000  0.5000
O  0.0000  0.0000  0.0000

Computed properties:
calculated total energy: -34.69 eV for the cell shown
Fermi-level density of states: 2.9 states/eV/f.u.

---

No. 3
Compound: Si2RuWO
Source: the Alexandria database
Functional: PBE with a Hubbard U
Structure: relaxed

Lattice parameters (Å, degrees): 4.1166 4.1166 4.1370 90.00 90.00 90.00
Atoms (fractional coordinates):
Si  0.0000  0.5000  0.0000
Si  0.5000  0.0000  0.0000
Ru  0.0000  0.0000  0.5000
W  0.5000  0.5000  0.5000
O  0.5000  0.5000  0.0000

Computed properties:
calculated total energy: -30.93 eV for the cell shown
Fermi-level density of states: 1.8 states/eV/f.u.

---

Repeat the third record exactly.
Compound: Si2RuWO
Source: the Alexandria database
Functional: PBE with a Hubbard U
Structure: relaxed

Lattice parameters (Å, degrees): 4.1166 4.1166 4.1370 90.00 90.00 90.00
Atoms (fractional coordinates):
Si  0.0000  0.5000  0.0000
Si  0.5000  0.0000  0.0000
Ru  0.0000  0.0000  0.5000
W  0.5000  0.5000  0.5000
O  0.5000  0.5000  0.0000

Computed properties:
calculated total energy: -30.93 eV for the cell shown
Fermi-level density of states: 1.8 states/eV/f.u.

---

- Which of these has the highest Fermi-level density of states?
  VSi2RuO

---

- Among the records above, which one has the highest calculated total energy?
  VSi2RuO

---

- Which formula does entry 2 have?
  V2SiRuO